1.
The following is a PBE calculation of crystalline InPF3 at its relaxed geometry, from Alexandria via LeMat-Bulk.

Lattice parameters (Å, degrees): 4.8983 4.8983 4.8983 85.71 85.71 85.71
Each line ends with the local moment (μB).
Element x y z (fractional)
F 0.1408 0.1381 0.6640  0.05
F 0.1381 0.6640 0.1408  0.05
F 0.6640 0.1408 0.1381  0.05
In 0.4835 0.4835 0.4835  0.01
P 0.0094 0.0094 0.0094  0.37

Formation energy without anion corrections in eV per atom: -1.39
ρ in g/cm3: 2.89
Size of the total moment in Bohr magnetons per cell: 1.0
Distance to the lowest polymorph of the same formula in meV per atom: 0
E in eV/cell: -20.692

2.
The following is a PBE calculation of crystalline Ho2MgPb at its relaxed geometry, from Alexandria via LeMat-Bulk.

Lattice parameters (Å, degrees): 4.4858 4.8854 4.8854 90.00 90.00 90.00
Element x y z (fractional)
Ho 0.0000 0.5000 0.0000
Mg 0.5000 0.0000 0.0000
Ho 0.0000 0.0000 0.5000
Pb 0.5000 0.5000 0.5000

ρ in g/cm3: 8.71
ΔH_f (0 K) in eV per formula unit: -1.21
Size of the total moment in Bohr magnetons per cell: 0.0
E in eV/cell: -15.665

Q: Number 2 is which compound?
A: Ho2MgPb